Entry 1:
# Tb2Zn3Ga4Ag | Alexandria via LeMat-Bulk | PBE | relaxed
# Energy relative to the elements = -0.4064 eV per atom
# Uncorrected energy = -32.11 eV for the cell shown
# Total moment = 0.000 μB per atom
# Volume = 189 Å³ per cell
data_Tb2Zn3Ga4Ag
_cell_length_a 4.209
_cell_length_b 4.209
_cell_length_c 10.678
_cell_angle_alpha 90.00
_cell_angle_beta 90.00
_cell_angle_gamma 90.00
_space_group_name_H-M_alt 'P -4 m 2'
_space_group_IT_number 115
_space_group_name_Hall 'P -4 -2'
loop_
_atom_site_label
_atom_site_type_symbol
_atom_site_fract_x
_atom_site_fract_y
_atom_site_fract_z
Tb1 Tb 0.000 0.500 0.243
Zn1 Zn 0.000 0.500 0.865
Zn2 Zn 0.500 0.500 0.500
Ga1 Ga 0.000 0.000 0.000
Ga2 Ga 0.000 0.500 0.640
Ga3 Ga 0.500 0.500 0.000
Ag1 Ag 0.000 0.000 0.500

***

Entry 2:
# TbZrGaAg | Alexandria via LeMat-Bulk | PBE | relaxed
# Energy relative to the elements = -0.2983 eV per atom
# Uncorrected energy = -81.00 eV for the cell shown
# Total moment = 0.211 μB per atom
# Volume = 348 Å³ per cell
data_TbZrGaAg
_cell_length_a 7.035
_cell_length_b 7.035
_cell_length_c 7.035
_cell_angle_alpha 90.00
_cell_angle_beta 90.00
_cell_angle_gamma 90.00
_space_group_name_H-M_alt 'F -4 3 m'
_space_group_IT_number 216
_space_group_name_Hall 'F -4 2 3'
loop_
_atom_site_label
_atom_site_type_symbol
_atom_site_fract_x
_atom_site_fract_y
_atom_site_fract_z
Tb1 Tb 0.000 0.000 0.000
Zr1 Zr 0.000 0.000 0.500
Ga1 Ga 0.250 0.250 0.750
Ag1 Ag 0.250 0.250 0.250

***

Entry 3:
# GaTcAg2 | Alexandria via LeMat-Bulk | PBE | relaxed
# Energy relative to the elements = 0.4806 eV per atom
# Uncorrected energy = -68.69 eV for the cell shown
# Total moment = 0.155 μB per atom
# Volume = 282 Å³ per cell
data_GaTcAg2
_cell_length_a 3.721
_cell_length_b 3.721
_cell_length_c 20.358
_cell_angle_alpha 90.00
_cell_angle_beta 90.00
_cell_angle_gamma 90.00
_space_group_name_H-M_alt 'I -4 2 d'
_space_group_IT_number 122
_space_group_name_Hall 'I -4 2bw'
loop_
_atom_site_label
_atom_site_type_symbol
_atom_site_fract_x
_atom_site_fract_y
_atom_site_fract_z
Ga1 Ga 0.000 0.000 0.000
Tc1 Tc 0.000 0.000 0.500
Ag1 Ag 0.250 0.250 0.125

***

Entry 4:
# GaTcAg2 | Alexandria via LeMat-Bulk | PBE | relaxed
# Energy relative to the elements = 0.5184 eV per atom
# Uncorrected energy = -51.06 eV for the cell shown
# Total moment = 0.000 μB per atom
# Volume = 208 Å³ per cell
data_GaTcAg2
_cell_length_a 2.7844
_cell_length_b 2.7844
_cell_length_c 31.0432
_cell_angle_alpha 90.00
_cell_angle_beta 90.00
_cell_angle_gamma 120.00
_space_group_name_H-M_alt 'R -3 m'
_space_group_IT_number 166
_space_group_name_Hall '-R 3 2"'
loop_
_atom_site_label
_atom_site_type_symbol
_atom_site_fract_x
_atom_site_fract_y
_atom_site_fract_z
Ga1 Ga 0.0000 0.0000 0.0000
Tc1 Tc 0.0000 0.0000 0.5000
Ag1 Ag 0.0000 0.0000 0.4112

***

Q: Among the records above, which one has the highest total moment?
A: TbZrGaAg

***

Q: Number 1 is which compound?
A: Tb2Zn3Ga4Ag